A relaxed structure of SmMnRe, computed with PBE.

Calculated values
DFT formation energy = 0.64 eV/atom
D(E_F) = 3.25 states/eV/f.u.
density = 10.0 g cm⁻³
total magnetization = 0.0 μB/f.u.
DFT total energy = -97.620 eV for the cell shown

a = 6.670 Å, b = 6.670 Å, c = 5.823 Å
α = 90.00°, β = 90.00°, γ = 90.00°
Space group P4_12_12 (No. 92)
Symmetry-distinct sites (fractional):
Sm 0.239 0.239 0.000 x4
Mn 0.061 0.061 0.500 x4
Re 0.185 0.815 0.750 x4

***

A relaxed structure of Mn3ReSn, computed with PBE.

Calculated values
DFT formation energy = 1.09 eV/atom
D(E_F) = 7.29 states/eV/f.u.
density = 7.8 g cm⁻³
total magnetization = 8.1 μB/f.u.
DFT total energy = -38.487 eV for the cell shown

a = 4.642 Å, b = 4.642 Å, c = 4.642 Å
α = 90.00°, β = 90.00°, γ = 90.00°
Space group Pm-3m (No. 221)
Symmetry-distinct sites (fractional):
Mn 0.000 0.000 0.500 x3
Re 0.000 0.000 0.000 x1
Sn 0.500 0.500 0.500 x1

***

A relaxed structure of MnRe2Sn, computed with PBE.

Calculated values
DFT formation energy = 0.74 eV/atom
D(E_F) = 3.42 states/eV/f.u.
density = 12.5 g cm⁻³
total magnetization = 3.4 μB/f.u.
DFT total energy = -140.416 eV for the cell shown

a = 3.904 Å, b = 3.904 Å, c = 19.011 Å
α = 90.00°, β = 90.00°, γ = 90.00°
Space group I-42d (No. 122)
Symmetry-distinct sites (fractional):
Mn 0.000 0.000 0.000 x4
Re 0.188 0.250 0.125 x8
Sn 0.000 0.000 0.500 x4

***

A relaxed structure of Mn2ReSn, computed with PBE.

Calculated values
DFT formation energy = 0.71 eV/atom
D(E_F) = 3.65 states/eV/f.u.
density = 10.2 g cm⁻³
total magnetization = 4.9 μB/f.u.
DFT total energy = -127.812 eV for the cell shown

a = 7.062 Å, b = 7.062 Å, c = 5.420 Å
α = 90.00°, β = 90.00°, γ = 90.00°
Space group I-42d (No. 122)
Symmetry-distinct sites (fractional):
Mn 0.217 0.750 0.125 x8
Re 0.000 0.000 0.000 x4
Sn 0.000 0.000 0.500 x4

***

A relaxed structure of MnReSn2, computed with PBE.

Calculated values
ΔE to the lowest computed polymorph = 384 meV per atom
DFT formation energy = 0.85 eV/atom
D(E_F) = 4.52 states/eV/f.u.
density = 9.7 g cm⁻³
total magnetization = 4.6 μB/f.u.
DFT total energy = -104.937 eV for the cell shown

a = 7.451 Å, b = 7.451 Å, c = 5.882 Å
α = 90.00°, β = 90.00°, γ = 90.00°
Space group I-42d (No. 122)
Symmetry-distinct sites (fractional):
Mn 0.000 0.000 0.000 x4
Re 0.000 0.000 0.500 x4
Sn 0.247 0.250 0.625 x8

***

A relaxed structure of MnReSn2, computed with PBE.

Calculated values
ΔE to the lowest computed polymorph = 0 meV per atom
DFT formation energy = 0.46 eV/atom
D(E_F) = 4.43 states/eV/f.u.
density = 11.2 g cm⁻³
total magnetization = 2.9 μB/f.u.
DFT total energy = -111.084 eV for the cell shown

a = 6.577 Å, b = 6.577 Å, c = 6.577 Å
α = 90.00°, β = 90.00°, γ = 90.00°
Space group Fm-3m (No. 225)
Symmetry-distinct sites (fractional):
Mn 0.000 0.000 0.000 x4
Re 0.000 0.000 0.500 x4
Sn 0.250 0.250 0.250 x8